# 1
The following is a PBE calculation of a geometry-optimized FePd6Rh structure, from Alexandria via LeMat-Bulk.

Properties
magnetization = 6.0 Bohr magnetons per cell
formation energy from the elements = 570 meV per atom
polymorph energy (0 for the lowest one) = 0.578 eV per atom

Unit cell a=7.145 b=7.145 c=7.145 alpha=43.14 beta=43.14 gamma=43.14
Atoms (fractional coordinates):
Fe: 0.000 0.000 0.000
Pd: 0.070 0.070 0.563
Pd: 0.070 0.563 0.070
Pd: 0.437 0.930 0.930
Pd: 0.563 0.070 0.070
Pd: 0.930 0.437 0.930
Pd: 0.930 0.930 0.437
Rh: 0.500 0.500 0.500

# 2
The following is a PBE calculation of a geometry-optimized FePdRh structure, from Alexandria via LeMat-Bulk.

Properties
magnetization = 8.8 Bohr magnetons per cell
formation energy from the elements = 21 meV per atom
polymorph energy (0 for the lowest one) = 0.070 eV per atom

Unit cell a=4.323 b=4.323 c=5.297 alpha=90.00 beta=90.00 gamma=120.00
Atoms (fractional coordinates):
Fe: 0.333 0.667 0.250
Fe: 0.667 0.333 0.750
Pd: 0.333 0.667 0.750
Pd: 0.667 0.333 0.250
Rh: 0.000 0.000 0.000
Rh: 0.000 0.000 0.500

# 3
The following is a PBE calculation of a geometry-optimized Fe2Pd7Rh structure, from Alexandria via LeMat-Bulk.

Properties
magnetization = 10.0 Bohr magnetons per cell
formation energy from the elements = 520 meV per atom

Unit cell a=7.353 b=7.353 c=4.012 alpha=90.00 beta=90.00 gamma=121.43
Atoms (fractional coordinates):
Fe: 0.192 0.808 0.000
Fe: 0.808 0.192 0.000
Pd: 0.000 0.000 0.000
Pd: 0.201 0.422 0.000
Pd: 0.292 0.708 0.500
Pd: 0.422 0.201 0.000
Pd: 0.578 0.799 0.000
Pd: 0.708 0.292 0.500
Pd: 0.799 0.578 0.000
Rh: 0.500 0.500 0.500

# 4
The following is a PBE calculation of a geometry-optimized Fe3Pd2Rh3 structure, from Alexandria via LeMat-Bulk.

Properties
magnetization = 10.9 Bohr magnetons per cell
formation energy from the elements = -13 meV per atom

Unit cell a=8.221 b=8.221 c=8.221 alpha=154.03 beta=152.77 gamma=37.98
Atoms (fractional coordinates):
Fe: 0.000 0.000 0.000
Fe: 0.379 0.879 0.500
Fe: 0.621 0.121 0.500
Pd: 0.252 0.252 0.000
Pd: 0.748 0.748 0.000
Rh: 0.121 0.621 0.500
Rh: 0.500 0.500 0.000
Rh: 0.879 0.379 0.500